The following is a PBE-GGA calculation of a relaxed structure of CrMoPd2S, from the Alexandria database.

## Properties
Uncorrected formation energy   350 meV/atom
Symmetry   P4/mmm (123)

The structure in POSCAR format:
```
CrMoPd2S
1.0
-4.243 -1.310 -0.486
0.733 -3.404 2.783
-1.189 2.569 3.455
Cr Mo S Pd
1 1 1 2
Direct
0.500 0.500 0.500 Cr
0.000 0.500 0.000 Mo
0.000 0.000 0.000 S
0.000 0.000 0.500 Pd
0.500 0.000 0.000 Pd
```

The following is a PBE-GGA calculation of a relaxed structure of NaIr3Pd2Se8, from the Alexandria database.

## Properties
Uncorrected formation energy   -334 meV/atom
Symmetry   R3m (160)

The structure in POSCAR format:
```
NaIr3Pd2Se8
1.0
-2.416 -6.756 2.381
3.791 -6.257 -1.904
3.986 -3.775 5.335
Na Ir Pd Se
1 3 2 8
Direct
0.872 0.872 0.383 Na
0.501 0.996 0.002 Ir
0.996 0.501 0.002 Ir
0.501 0.501 0.002 Ir
0.124 0.124 0.629 Pd
0.500 0.500 0.501 Pd
0.264 0.264 0.207 Se
0.732 0.732 0.804 Se
0.259 0.259 0.772 Se
0.710 0.259 0.772 Se
0.259 0.710 0.772 Se
0.735 0.305 0.225 Se
0.305 0.735 0.225 Se
0.735 0.735 0.225 Se
```

The following is a PBE-GGA calculation of a relaxed structure of CaDy7Cd4, from the Alexandria database.

## Properties
Energy of formation   0.033 eV/atom
Symmetry   C2/m (12)

The structure in POSCAR format:
```
CaDy7Cd4
1.0
-5.028 -2.169 1.665
1.487 -8.009 3.894
-0.934 0.609 7.807
Ca Dy Cd
1 7 4
Direct
0.000 0.000 0.000 Ca
0.792 0.880 0.536 Dy
0.208 0.120 0.464 Dy
0.074 0.580 0.273 Dy
0.926 0.420 0.727 Dy
0.263 0.692 0.781 Dy
0.500 0.000 0.000 Dy
0.737 0.308 0.219 Dy
0.542 0.287 0.630 Cd
0.458 0.713 0.370 Cd
0.680 0.660 0.980 Cd
0.320 0.340 0.020 Cd
```

The following is a PBE-GGA calculation of a relaxed structure of Li4GaSn5, from the Alexandria database.

## Properties
Energy of formation   -0.224 eV/atom
Symmetry   P4/mmm (123)

The structure in POSCAR format:
```
Li4GaSn5
1.0
-1.648 -0.121 3.067
-3.047 -0.350 -1.651
1.840 -17.431 0.301
Li Ga Sn
4 1 5
Direct
0.000 0.000 0.213 Li
0.000 0.000 0.404 Li
0.000 0.000 0.596 Li
0.000 0.000 0.787 Li
0.000 0.000 0.000 Ga
0.500 0.500 0.110 Sn
0.500 0.500 0.308 Sn
0.500 0.500 0.500 Sn
0.500 0.500 0.692 Sn
0.500 0.500 0.890 Sn
```